[1]
A PBEsol-optimized structure of Hf2ScAs2. Source: Alexandria, functional SCAN.

The structure belongs to space group P4/mbm (No. 127); the cell edges are 7.1874, 7.1874 and 3.5555 Å and the angles 90.00°, 90.00° and 90.00°. Symmetry generates all atoms from Hf at (0.1545, 0.3455, 0.0000), Sc at (0.0000, 0.0000, 0.5000) and As at (0.1436, 0.6436, 0.5000).

For the electronic total energy, the calculation gives -185.01 eV per formula unit. For the volume, the calculation gives 18.37 A^3/atom. The calculation puts the energy of formation from the pure elements at -1.0098 eV/atom.

=====

[2]
A PBEsol-optimized structure of ScTl2Br. Source: Alexandria, functional SCAN.

The structure belongs to space group Fm-3m (No. 225); the cell edges are 7.5081, 7.5081 and 7.5081 Å and the angles 90.00°, 90.00° and 90.00°. Symmetry generates all atoms from Sc at (0.0000, 0.0000, 0.0000), Tl at (0.2500, 0.2500, 0.2500) and Br at (0.0000, 0.0000, 0.5000).

For the electronic total energy, the calculation gives -178.21 eV per formula unit. The calculation puts the uncorrected formation energy at 51 meV per atom. For the volume, the calculation gives 26.45 A^3/atom.

=====

[3]
A PBEsol-optimized structure of MnHgTe2. Source: Alexandria, functional SCAN.

The structure belongs to space group R-3m (No. 166, hexagonal axes); the cell edges are 3.8159, 3.8159 and 23.3923 Å and the angles 90.00°, 90.00° and 120.00°. Symmetry generates all atoms from Mn at (0.0000, 0.0000, 0.0000), Hg at (0.0000, 0.0000, 0.5000) and Te at (0.0000, 0.0000, 0.2684).

For the electronic total energy, the calculation gives -162.12 eV per formula unit. The calculation puts the uncorrected formation energy at -300 meV per atom. For the volume, the calculation gives 24.58 A^3/atom.